No. 1
# CaTlCdBi

An optimized crystal structure of CaTlCdBi (PBE-GGA, the Alexandria database).

The structure in POSCAR format:
```
CaTlCdBi
1.0
-0.214 1.966 4.283
-2.742 -3.410 1.429
4.234 -2.781 1.488
Tl Cd Bi Ca
1 1 1 1
Direct
0.500 0.500 0.000
0.000 0.000 0.000
0.000 0.500 0.500
0.500 0.000 0.500
```

Properties
**Offset from the most stable computed form**: 0.0 meV/atom
**D(E_F)**: 0.31 states/eV per atom
**ΔH_f (0 K)**: -0.368 eV/atom

***

No. 2
# Pb2Au

An optimized crystal structure of Pb2Au (PBE-GGA, the Alexandria database).

The structure in POSCAR format:
```
Pb2Au
1.0
-4.161 -3.323 1.280
5.152 -1.838 0.260
0.179 0.925 2.984
Au Pb
1 2
Direct
0.000 0.000 0.000
0.667 0.333 0.500
0.333 0.667 0.500
```

Properties
**D(E_F)**: 0.27 states/eV per atom
**ΔH_f (0 K)**: 0.191 eV/atom

***

No. 3
# BaSi2Hg

An optimized crystal structure of BaSi2Hg (PBE-GGA, the Alexandria database).

The structure in POSCAR format:
```
BaSi2Hg
1.0
5.715 -0.145 0.000
1.820 5.419 0.000
-3.767 -2.637 3.396
Ba Si Hg
1 2 1
Direct
0.250 0.750 0.500
0.000 0.000 0.000
0.500 0.500 0.000
0.750 0.250 0.500
```

Properties
**D(E_F)**: 0.72 states/eV per atom
**Energy relative to the elements, uncorrected**: 0.35 eV/atom

***

No. 4
# LiAcLaAu

An optimized crystal structure of LiAcLaAu (PBE-GGA, the Alexandria database).

The structure in POSCAR format:
```
LiAcLaAu
1.0
-1.867 -3.399 3.875
-2.517 -4.658 -1.420
2.473 -4.819 0.843
Li Au La Ac
1 1 1 1
Direct
0.500 0.500 0.500
0.000 0.000 0.000
0.250 0.250 0.250
0.750 0.750 0.750
```

Properties
**Offset from the most stable computed form**: 42.5 meV/atom
**D(E_F)**: 1.23 states/eV per atom
**ΔH_f (0 K)**: -0.317 eV/atom

***

No. 5
# AlNiTe2

An optimized crystal structure of AlNiTe2 (PBE-GGA, the Alexandria database).

The structure in POSCAR format:
```
AlNiTe2
1.0
-1.800 -3.195 2.046
1.128 -1.484 3.763
-4.275 2.819 4.479
Te Al Ni
2 1 1
Direct
0.000 0.000 0.112
0.731 0.731 0.665
0.515 0.515 0.427
0.255 0.255 0.296
```

Properties
**D(E_F)**: 0.52 states/eV per atom
**Energy relative to the elements, uncorrected**: -0.17 eV/atom

***

No. 6
# NbAlBi3

An optimized crystal structure of NbAlBi3 (PBE-GGA, the Alexandria database).

The structure in POSCAR format:
```
NbAlBi3
1.0
5.334 0.000 0.000
0.000 5.334 0.000
0.000 0.000 5.334
Al Nb Bi
1 1 3
Direct
0.000 0.000 0.000
0.500 0.500 0.500
0.000 0.000 0.500
0.000 0.500 0.000
0.500 0.000 0.000
```

Properties
**Offset from the most stable computed form**: 595.4 meV/atom
**D(E_F)**: 1.47 states/eV per atom
**ΔH_f (0 K)**: 1.189 eV/atom

***

No. 7
# PrIn4Ag4

An optimized crystal structure of PrIn4Ag4 (PBE-GGA, the Alexandria database).

The structure in POSCAR format:
```
PrIn4Ag4
1.0
6.550 0.000 0.000
0.000 6.550 0.000
0.000 0.000 9.833
In Ag Pr
8 8 2
Direct
0.720 0.000 0.588
0.780 0.500 0.912
0.220 0.500 0.912
0.280 0.000 0.588
0.000 0.720 0.412
0.500 0.780 0.088
0.000 0.280 0.412
0.500 0.220 0.088
0.276 0.000 0.294
0.000 0.724 0.706
0.000 0.276 0.706
0.224 0.500 0.206
0.724 0.000 0.294
0.776 0.500 0.206
0.500 0.224 0.794
0.500 0.776 0.794
0.000 0.000 0.000
0.500 0.500 0.500
```

Properties
**D(E_F)**: 0.39 states/eV per atom
**ΔH_f (0 K)**: -0.094 eV/atom

***

No. 8
# AcLaPm3Nd

An optimized crystal structure of AcLaPm3Nd (PBE-GGA, the Alexandria database).

The structure in POSCAR format:
```
AcLaPm3Nd
1.0
-3.101 4.898 -1.056
-7.169 -7.356 3.370
1.101 2.168 6.824
La Pm Ac Nd
2 6 2 2
Direct
0.358 0.715 0.507
0.642 0.285 0.493
0.219 0.438 0.273
0.520 0.039 0.749
0.839 0.678 0.245
0.161 0.322 0.755
0.781 0.562 0.727
0.480 0.961 0.251
0.352 0.704 0.958
0.648 0.296 0.042
0.053 0.106 0.270
0.947 0.894 0.730
```

Properties
**D(E_F)**: 1.40 states/eV per atom
**ΔH_f (0 K)**: 0.191 eV/atom

***

No. 9
# CsCd13

An optimized crystal structure of CsCd13 (PBE-GGA, the Alexandria database).

The structure in POSCAR format:
```
CsCd13
1.0
-5.688 -7.950 -2.036
4.195 -8.998 -1.070
-1.424 -7.030 6.946
Cd Cs
26 2
Direct
0.558 0.442 0.801
0.199 0.801 0.442
0.558 0.199 0.442
0.801 0.558 0.442
0.801 0.199 0.558
0.942 0.058 0.301
0.301 0.058 0.699
0.500 0.500 0.500
0.801 0.442 0.199
0.699 0.058 0.942
0.942 0.301 0.699
0.199 0.558 0.801
0.942 0.699 0.058
0.199 0.442 0.558
0.301 0.699 0.942
0.699 0.942 0.301
0.058 0.699 0.301
0.058 0.942 0.699
0.442 0.199 0.801
0.442 0.558 0.199
0.699 0.301 0.058
0.301 0.942 0.058
0.558 0.801 0.199
0.058 0.301 0.942
0.442 0.801 0.558
0.000 0.000 0.000
0.750 0.750 0.750
0.250 0.250 0.250
```

Properties
**D(E_F)**: 0.34 states/eV per atom
**ΔH_f (0 K)**: -0.052 eV/atom

***

No. 10
# WCl6

An optimized crystal structure of WCl6 (PBE-GGA, the Alexandria database).

The structure in POSCAR format:
```
WCl6
1.0
11.371 0.000 0.000
-5.685 9.847 0.000
0.000 0.000 6.243
Cl W
18 3
Direct
0.571 0.142 0.751
0.429 0.858 0.249
0.904 0.096 0.787
0.571 0.429 0.751
0.858 0.429 0.751
0.809 0.904 0.213
0.475 0.238 0.324
0.762 0.525 0.324
0.142 0.571 0.249
0.525 0.762 0.676
0.238 0.762 0.676
0.238 0.475 0.676
0.762 0.238 0.324
0.429 0.571 0.249
0.096 0.191 0.213
0.904 0.809 0.787
0.096 0.904 0.213
0.191 0.096 0.787
0.333 0.667 0.463
0.000 0.000 0.000
0.667 0.333 0.537
```

Properties
**D(E_F)**: 0.00 states/eV per atom
**Energy relative to the elements, uncorrected**: -0.85 eV/atom

***

No. 11
# NbTeI2Cl

An optimized crystal structure of NbTeI2Cl (PBE-GGA, the Alexandria database).

The structure in POSCAR format:
```
NbTeI2Cl
1.0
5.526 0.000 0.000
0.000 5.526 0.000
0.000 0.000 5.392
Nb I Te Cl
1 2 1 1
Direct
0.000 0.000 0.000
0.500 0.000 0.000
0.000 0.500 0.000
0.000 0.000 0.500
0.500 0.500 0.500
```

Properties
**Offset from the most stable computed form**: 0.0 meV/atom
**D(E_F)**: 1.05 states/eV per atom
**Energy relative to the elements, uncorrected**: -0.03 eV/atom

***

No. 12
# Ca2CoTe

An optimized crystal structure of Ca2CoTe (PBE-GGA, the Alexandria database).

The structure in POSCAR format:
```
Ca2CoTe
1.0
-0.547 1.495 -4.036
2.523 -3.117 -1.497
-4.999 -3.711 -0.697
Te Ca Co
1 2 1
Direct
0.500 0.500 0.827
0.000 0.000 0.937
0.500 0.500 0.333
0.000 0.000 0.403
```

Properties
**D(E_F)**: 0.97 states/eV per atom
**Energy relative to the elements, uncorrected**: -0.27 eV/atom

***

No. 13
# Sm3OsBr3

An optimized crystal structure of Sm3OsBr3 (PBE-GGA, the Alexandria database).

The structure in POSCAR format:
```
Sm3OsBr3
1.0
4.259 0.000 0.000
0.000 8.652 -0.324
0.000 0.188 12.076
Sm Br Os
6 6 2
Direct
0.250 0.270 0.600
0.750 0.730 0.400
0.750 0.145 0.365
0.250 0.902 0.174
0.750 0.098 0.826
0.250 0.855 0.635
0.250 0.436 0.371
0.250 0.869 0.899
0.250 0.334 0.852
0.750 0.666 0.148
0.750 0.564 0.629
0.750 0.131 0.101
0.250 0.948 0.405
0.750 0.052 0.595
```

Properties
**D(E_F)**: 0.39 states/eV per atom
**Energy relative to the elements, uncorrected**: -1.21 eV/atom

***

No. 14
# SbAs2Br

An optimized crystal structure of SbAs2Br (PBE-GGA, the Alexandria database).

The structure in POSCAR format:
```
SbAs2Br
1.0
-1.509 -2.592 1.741
2.011 -0.703 -2.737
8.228 -0.621 6.206
As Sb Br
2 1 1
Direct
0.000 0.000 0.033
0.500 0.500 0.201
0.500 0.500 0.742
0.000 0.000 0.524
```

Properties
**Offset from the most stable computed form**: 290.0 meV/atom
**D(E_F)**: 0.45 states/eV per atom
**Energy relative to the elements, uncorrected**: 0.25 eV/atom

***

No. 15
# ScCu

An optimized crystal structure of ScCu (PBE-GGA, the Alexandria database).

The structure in POSCAR format:
```
ScCu
1.0
5.245 0.000 0.000
0.000 5.245 0.000
0.000 0.000 5.245
Sc Cu
4 4
Direct
0.574 0.426 0.926
0.926 0.574 0.426
0.074 0.074 0.074
0.426 0.926 0.574
0.415 0.415 0.415
0.585 0.915 0.085
0.085 0.585 0.915
0.915 0.085 0.585
```

Properties
**D(E_F)**: 0.97 states/eV per atom
**ΔH_f (0 K)**: -0.115 eV/atom

***

No. 16
# Ca2PuAgO6

An optimized crystal structure of Ca2PuAgO6 (PBE-GGA, the Alexandria database).

The structure in POSCAR format:
```
Ca2PuAgO6
1.0
-1.836 -2.226 -4.908
-3.901 -3.198 2.910
-0.213 6.086 0.575
O Ca Ag Pu
6 2 1 1
Direct
0.140 0.172 0.825
0.650 0.313 0.627
0.140 0.653 0.825
0.350 0.687 0.373
0.860 0.347 0.175
0.860 0.828 0.175
0.198 0.250 0.501
0.802 0.750 0.499
0.500 0.000 0.000
0.000 0.500 0.000
```

Properties
**D(E_F)**: 0.04 states/eV per atom
**Energy relative to the elements, uncorrected**: -2.31 eV/atom

***

No. 17
# LiAg2F8

An optimized crystal structure of LiAg2F8 (PBE-GGA, the Alexandria database).

The structure in POSCAR format:
```
LiAg2F8
1.0
5.423 0.000 0.000
0.000 5.423 0.000
-2.712 -2.712 5.093
F Ag Li
8 2 1
Direct
0.441 0.924 0.239
0.202 0.076 0.761
0.924 0.798 0.239
0.076 0.559 0.761
0.315 0.441 0.239
0.685 0.202 0.761
0.798 0.315 0.239
0.559 0.685 0.761
0.750 0.250 0.500
0.250 0.750 0.500
0.500 0.500 0.000
```

Properties
**Offset from the most stable computed form**: 30.2 meV/atom
**D(E_F)**: 1.08 states/eV per atom
**Energy relative to the elements, uncorrected**: -1.22 eV/atom

***

No. 18
# HPdSe2Br

An optimized crystal structure of HPdSe2Br (PBE-GGA, the Alexandria database).

The structure in POSCAR format:
```
HPdSe2Br
1.0
3.841 0.000 0.000
0.000 3.841 0.000
0.000 0.000 7.672
Se H Br Pd
2 1 1 1
Direct
0.000 0.500 0.000
0.500 0.000 0.000
0.000 0.000 0.000
0.000 0.000 0.500
0.500 0.500 0.500
```

Properties
**Offset from the most stable computed form**: 0.0 meV/atom
**D(E_F)**: 1.20 states/eV per atom

***

No. 19
# ScBeIn2C

An optimized crystal structure of ScBeIn2C (PBE-GGA, the Alexandria database).

The structure in POSCAR format:
```
ScBeIn2C
1.0
-1.672 5.322 -1.326
-2.667 -0.082 3.035
3.970 2.131 3.546
In C Sc Be
2 1 1 1
Direct
0.500 0.000 0.000
0.000 0.000 0.500
0.000 0.500 0.000
0.000 0.000 0.000
0.500 0.500 0.500
```

Properties
**D(E_F)**: 0.72 states/eV per atom
**ΔH_f (0 K)**: 1.402 eV/atom

***

No. 20
# GdYMgPd

An optimized crystal structure of GdYMgPd (PBE-GGA, the Alexandria database).

The structure in POSCAR format:
```
GdYMgPd
1.0
5.165 0.000 0.000
2.583 4.473 0.000
2.583 1.491 4.217
Gd Y Pd Mg
1 1 1 1
Direct
0.500 0.500 0.500
0.000 0.000 0.000
0.250 0.250 0.250
0.750 0.750 0.750
```

Properties
**D(E_F)**: 0.73 states/eV per atom
**ΔH_f (0 K)**: -0.394 eV/atom

***

No. 21
# KTe2F11

An optimized crystal structure of KTe2F11 (PBE-GGA, the Alexandria database).

The structure in POSCAR format:
```
KTe2F11
1.0
9.433 0.001 4.918
4.410 7.247 3.049
1.354 -0.022 8.912
F Te K
22 4 2
Direct
0.212 0.031 0.230
0.958 0.032 0.967
0.981 0.888 0.374
0.622 0.175 0.069
0.780 0.383 0.864
0.244 0.625 0.112
0.519 0.126 0.612
0.878 0.431 0.325
0.634 0.676 0.569
0.196 0.185 0.815
0.304 0.685 0.315
0.812 0.775 0.224
0.474 0.883 0.364
0.473 0.770 0.969
0.026 0.136 0.617
0.542 0.533 0.468
0.688 0.276 0.725
0.866 0.931 0.824
0.256 0.388 0.875
0.288 0.270 0.469
0.720 0.636 0.117
0.027 0.531 0.730
0.675 0.657 0.343
0.286 0.353 0.647
0.825 0.157 0.843
0.214 0.853 0.147
0.750 0.808 0.692
0.250 0.308 0.192
```

Properties
**Energy relative to the elements, uncorrected**: -2.20 eV/atom

***

No. 22
# KTl2ZnGa

An optimized crystal structure of KTl2ZnGa (PBE-GGA, the Alexandria database).

The structure in POSCAR format:
```
KTl2ZnGa
1.0
-1.360 2.883 4.823
-3.497 -4.318 1.595
3.670 -2.121 2.303
Tl K Zn Ga
2 1 1 1
Direct
0.000 0.500 0.000
0.500 0.000 0.000
0.500 0.500 0.500
0.000 0.000 0.500
0.000 0.000 0.000
```

Properties
**Offset from the most stable computed form**: 0.0 meV/atom
**D(E_F)**: 0.48 states/eV per atom
**ΔH_f (0 K)**: 0.102 eV/atom

***

No. 23
# AcSiF6

An optimized crystal structure of AcSiF6 (PBE-GGA, the Alexandria database).

The structure in POSCAR format:
```
AcSiF6
1.0
-10.866 -0.323 2.502
3.290 -2.147 -3.927
4.777 -0.884 2.693
F Si Ac
6 1 1
Direct
0.190 0.297 0.946
0.810 0.703 0.054
0.190 0.946 0.297
0.300 0.491 0.491
0.700 0.509 0.509
0.810 0.054 0.703
0.000 0.000 0.000
0.500 0.000 0.000
```

Properties
**Offset from the most stable computed form**: 0.0 meV/atom
**D(E_F)**: 0.09 states/eV per atom
**Energy relative to the elements, uncorrected**: -3.27 eV/atom